DFT (PBE) results for a geometry-optimized PdPtCl2 structure.

Summary:
**ΔE to the lowest computed polymorph**: 0.372 eV per atom
**Volume**: 16.97 A^3/atom
**ΔE_f (raw)**: 2.18 eV/f.u.
**DOS(E_F)**: 0.76 states/eV/atom

a = 4.579 Å, b = 4.579 Å, c = 4.579 Å
α = 60.00°, β = 60.00°, γ = 60.00°
Positions (direct):
Pd (0.000, 0.000, 0.000)
Pt (0.500, 0.500, 0.500)
Cl (0.250, 0.250, 0.250)
Cl (0.750, 0.750, 0.750)